Compound: BaMg2AlGa4
Source: the Alexandria database
Functional: GGA-PBE
Structure: optimized geometry Values from VASP.

Values from the calculation:
Its electronic total energy is -2.84 eV/atom.

```
&SYSTEM
  ibrav = 0, nat = 8, ntyp = 4
/
ATOMIC_SPECIES
Ba 137.33 Ba.upf
Mg 24.30 Mg.upf
Al 26.98 Al.upf
Ga 69.72 Ga.upf
CELL_PARAMETERS angstrom
2.383 1.376 9.483
-2.383 1.376 9.483
0.000 -2.752 9.483
ATOMIC_POSITIONS angstrom
Ba 0.000 0.000 0.000
Mg 0.000 0.000 6.596
Mg 0.000 0.000 21.851
Al 0.000 0.000 14.224
Ga 0.000 0.000 3.674
Ga 0.000 0.000 11.602
Ga 0.000 0.000 16.845
Ga 0.000 0.000 24.774
```

***

Compound: Dy4TlAg5
Source: the Alexandria database
Functional: GGA-PBE
Structure: optimized geometry Values from VASP.

Values from the calculation:
Its electronic total energy is -3.75 eV/atom.

```
&SYSTEM
  ibrav = 0, nat = 10, ntyp = 3
/
ATOMIC_SPECIES
Dy 162.50 Dy.upf
Tl 204.38 Tl.upf
Ag 107.87 Ag.upf
CELL_PARAMETERS angstrom
3.672 0.000 0.000
0.000 3.672 0.000
0.000 0.000 17.646
ATOMIC_POSITIONS angstrom
Dy 0.000 0.000 1.813
Dy 0.000 0.000 5.417
Dy 0.000 0.000 12.230
Dy 0.000 0.000 15.834
Tl 0.000 0.000 8.823
Ag 1.836 1.836 0.000
Ag 1.836 1.836 3.627
Ag 1.836 1.836 7.039
Ag 1.836 1.836 10.607
Ag 1.836 1.836 14.020
```

***

Compound: SnRu3W
Source: the Alexandria database
Functional: GGA-PBE
Structure: optimized geometry Values from VASP.

Values from the calculation:
The polymorph energy (0 for the lowest one) is 0 meV per atom. Its electronic total energy is -7.59 eV/atom.

```
&SYSTEM
  ibrav = 0, nat = 5, ntyp = 3
/
ATOMIC_SPECIES
Sn 118.71 Sn.upf
Ru 101.07 Ru.upf
W 183.84 W.upf
CELL_PARAMETERS angstrom
4.770 0.000 0.000
0.000 4.770 0.000
0.000 0.000 4.770
ATOMIC_POSITIONS angstrom
Sn 0.000 0.000 0.000
Ru 0.000 2.385 2.385
Ru 2.385 0.000 2.385
Ru 2.385 2.385 0.000
W 2.385 2.385 2.385
```

***

Compound: Dy2Er3Hg3
Source: the Alexandria database
Functional: GGA-PBE
Structure: optimized geometry Values from VASP.

Values from the calculation:
Its electronic total energy is -3.33 eV/atom.

```
&SYSTEM
  ibrav = 0, nat = 16, ntyp = 3
/
ATOMIC_SPECIES
Dy 162.50 Dy.upf
Er 167.26 Er.upf
Hg 200.59 Hg.upf
CELL_PARAMETERS angstrom
3.718 0.000 0.000
0.000 5.254 0.000
0.000 0.000 21.925
ATOMIC_POSITIONS angstrom
Dy 0.000 0.000 5.087
Dy 0.000 0.000 16.838
Dy 1.859 2.627 5.876
Dy 1.859 2.627 16.049
Er 0.000 0.000 0.000
Er 0.000 2.627 2.653
Er 0.000 2.627 19.271
Er 1.859 0.000 8.309
Er 1.859 0.000 13.616
Er 1.859 2.627 10.962
Hg 0.000 0.000 10.962
Hg 0.000 2.627 8.385
Hg 0.000 2.627 13.540
Hg 1.859 0.000 2.577
Hg 1.859 0.000 19.347
Hg 1.859 2.627 0.000
```

***

Compound: CaTa2O6
Source: the Alexandria database
Functional: GGA-PBE
Structure: optimized geometry Values from VASP.

Values from the calculation:
The raw formation energy is -2991 meV/atom. Its electronic total energy is -9.15 eV/atom.

```
&SYSTEM
  ibrav = 0, nat = 9, ntyp = 3
/
ATOMIC_SPECIES
Ca 40.08 Ca.upf
Ta 180.95 Ta.upf
O 16.00 O.upf
CELL_PARAMETERS angstrom
5.318 0.000 0.000
-2.659 4.606 0.000
0.000 0.000 5.042
ATOMIC_POSITIONS angstrom
Ca 0.000 0.000 0.000
Ta 0.000 3.070 2.521
Ta 2.659 1.535 2.521
O -0.982 1.701 3.608
O -1.677 2.904 1.434
O 1.964 0.000 3.608
O 0.982 1.701 1.434
O 3.354 0.000 1.434
O 1.677 2.904 3.608
```

***

Compound: SrZr2Pt
Source: the Alexandria database
Functional: GGA-PBE
Structure: optimized geometry Values from VASP.

Values from the calculation:
The polymorph energy (0 for the lowest one) is 106 meV per atom. Its electronic total energy is -6.46 eV/atom.

```
&SYSTEM
  ibrav = 0, nat = 8, ntyp = 3
/
ATOMIC_SPECIES
Sr 87.62 Sr.upf
Zr 91.22 Zr.upf
Pt 195.08 Pt.upf
CELL_PARAMETERS angstrom
12.328 0.000 0.000
0.000 3.304 0.000
-2.141 0.000 4.876
ATOMIC_POSITIONS angstrom
Sr 0.000 0.000 0.000
Sr 6.164 1.652 0.000
Zr 1.032 0.000 3.393
Zr 2.991 1.652 1.483
Zr 7.197 1.652 3.393
Zr 9.155 0.000 1.483
Pt -1.070 1.652 2.438
Pt 5.094 0.000 2.438
```

***

| no. | magnetization (μB per atom) |
| --- | --- |
| 1 | 0.00 |
| 2 | 0.00 |
| 3 | 0.00 |
| 4 | 0.00 |
| 5 | 0.00 |
| 6 | 0.00 |